# 1
{
  "formula": "Mg2HgPd4Pb",
  "functional": "GGA-PBE",
  "state": "optimized geometry",
  "final_energy_ev_per_atom": -3.957,
  "cell": [[4.6452, 0.0000, 0.0000], [2.3226, 4.0228, 0.0000], [2.3226, 1.3409, 7.5436]],
  "species": ["Pd", "Pd", "Pb", "Hg", "Mg", "Pd", "Pd", "Mg"],
  "fractional_positions": [[0.1249, 0.1249, 0.6254], [0.6264, 0.6264, 0.1208], [0.0000, 0.0000, 0.0000], [0.5000, 0.5000, 0.5000], [0.7537, 0.7537, 0.7389], [0.8751, 0.8751, 0.3746], [0.3736, 0.3736, 0.8792], [0.2463, 0.2463, 0.2611]]
}

# 2
{
  "formula": "CdNiAu",
  "functional": "GGA-PBE",
  "state": "optimized geometry",
  "polymorph_energy_ev_per_atom": 0.0000,
  "cell": [[5.7687, -0.1121, 0.0000], [4.2553, 3.8964, 0.0000], [-5.0120, -1.8922, 2.1424]],
  "species": ["Au", "Cd", "Ni"],
  "fractional_positions": [[0.0149, 0.0149, 0.0000], [0.3213, 0.3213, 0.0000], [0.6639, 0.6639, 0.0000]]
}

# 3
{
  "formula": "Ca6Bi3F",
  "functional": "GGA-PBE",
  "state": "optimized geometry",
  "formation_energy_uncorrected_ev_per_atom": -1.129,
  "cell": [[-0.2701, 3.9532, -6.2044], [5.7644, -6.5304, -4.4118], [-8.8945, -3.5615, -1.8821]],
  "species": ["Ca", "Ca", "Ca", "Ca", "Ca", "F", "F", "Ca", "Bi", "Ca", "Ca", "Bi", "Bi", "Ca", "Ca", "Bi", "Bi", "Ca", "Ca", "Bi"],
  "fractional_positions": [[0.1731, 0.1067, 0.5810], [0.1731, 0.4190, 0.8933], [0.7079, 0.2247, 0.7753], [0.1497, 0.0478, 0.9522], [0.1957, 0.3637, 0.3143], [0.0281, 0.1951, 0.8049], [0.5281, 0.8049, 0.1951], [0.1957, 0.6857, 0.6363], [0.4769, 0.9335, 0.7205], [0.6497, 0.9522, 0.0478], [0.2079, 0.7753, 0.2247], [0.9769, 0.7205, 0.9335], [0.9081, 0.6141, 0.3859], [0.6957, 0.6363, 0.6857], [0.6957, 0.3143, 0.3637], [0.4081, 0.3859, 0.6141], [0.9769, 0.0665, 0.2795], [0.6731, 0.8933, 0.4190], [0.6731, 0.5810, 0.1067], [0.4769, 0.2795, 0.0665]]
}

# 4
{
  "formula": "SrZrBe2",
  "functional": "GGA-PBE",
  "state": "optimized geometry",
  "polymorph_energy_ev_per_atom": 0.2121,
  "cell": [[3.0535, 0.0000, 0.0000], [0.0000, 3.0535, 0.0000], [0.0000, 0.0000, 8.2960]],
  "species": ["Be", "Be", "Zr", "Sr"],
  "fractional_positions": [[0.5000, 0.5000, 0.1602], [0.0000, 0.0000, 0.0502], [0.5000, 0.5000, 0.8363], [0.0000, 0.0000, 0.4533]]
}